Record 1
Density functional theory data (PBE) for SrCaSc2Bi after structural relaxation.

The structure in POSCAR format:
```
SrCaSc2Bi
1.0
5.460 0.000 0.000
0.000 5.460 0.000
0.000 0.000 6.046
Sr Ca Sc Bi
1 1 2 1
Direct
0.000 0.000 0.000
0.500 0.500 0.500
0.000 0.500 0.000
0.500 0.000 0.000
0.000 0.000 0.500
```

Values from the calculation:
Its energy of formation from the pure elements is 780.5 meV per atom. Its total energy is -3.2650 eV/atom. As for the magnetization: 0.0 μB per formula unit.

Record 2
Density functional theory data (PBE) for Ca4Th3ScBi8 after structural relaxation.

The structure in POSCAR format:
```
Ca4Th3ScBi8
1.0
4.582 2.645 7.499
-4.582 2.645 7.499
0.000 -5.290 7.499
Ca Th Sc Bi
4 3 1 8
Direct
0.000 0.000 0.000
0.000 0.500 0.500
0.500 0.000 0.500
0.500 0.500 0.000
0.000 0.000 0.500
0.000 0.500 0.000
0.500 0.000 0.000
0.500 0.500 0.500
0.250 0.250 0.250
0.258 0.741 0.741
0.259 0.259 0.742
0.259 0.742 0.259
0.741 0.258 0.741
0.741 0.741 0.258
0.742 0.259 0.259
0.750 0.750 0.750
```

Values from the calculation:
Its energy of formation from the pure elements is -710.9 meV per atom. Its total energy is -4.9387 eV/atom. As for the magnetization: 0.0 μB per formula unit.

Record 3
Density functional theory data (PBE) for CaTh2ScBi4 after structural relaxation.

The structure in POSCAR format:
```
CaTh2ScBi4
1.0
7.739 0.000 0.000
0.000 4.541 0.000
-2.655 0.000 7.422
Ca Th Sc Bi
1 2 1 4
Direct
0.000 0.000 0.000
0.500 0.000 0.500
0.500 0.500 0.000
0.000 0.500 0.500
0.234 0.000 0.738
0.240 0.500 0.254
0.760 0.500 0.746
0.766 0.000 0.262
```

Values from the calculation:
Its energy of formation from the pure elements is -666.9 meV per atom. Its total energy is -5.5040 eV/atom. As for the magnetization: 0.0 μB per formula unit.

Record 4
Density functional theory data (PBE) for CaScTlBi after structural relaxation.

The structure in POSCAR format:
```
CaScTlBi
1.0
0.000 3.803 3.803
3.803 0.000 3.803
3.803 3.803 0.000
Ca Sc Tl Bi
1 1 1 1
Direct
0.000 0.000 0.000
0.500 0.500 0.500
0.250 0.250 0.250
0.750 0.750 0.750
```

Values from the calculation:
Its energy of formation from the pure elements is -369.3 meV per atom. Its total energy is -4.0144 eV/atom. As for the magnetization: 0.0 μB per formula unit.

Record 5
Density functional theory data (PBE) for CaScTl2Bi after structural relaxation.

The structure in POSCAR format:
```
CaScTl2Bi
1.0
5.695 0.000 0.000
0.000 5.695 0.000
0.000 0.000 5.761
Ca Sc Tl Bi
1 1 2 1
Direct
0.000 0.000 0.000
0.000 0.000 0.500
0.000 0.500 0.000
0.500 0.000 0.000
0.500 0.500 0.500
```

Values from the calculation:
Its energy of formation from the pure elements is 721.2 meV per atom. Its total energy is -2.6681 eV/atom. As for the magnetization: 1.7 μB per formula unit.

Record 6
Density functional theory data (PBE) for CaTm2Sc3Bi6 after structural relaxation.

The structure in POSCAR format:
```
CaTm2Sc3Bi6
1.0
9.551 -2.182 0.000
9.551 2.182 0.000
-2.069 0.000 8.534
Ca Tm Sc Bi
1 2 3 6
Direct
0.000 0.000 0.000
0.334 0.334 0.669
0.666 0.666 0.331
0.000 0.000 0.500
0.336 0.336 0.167
0.664 0.664 0.833
0.165 0.165 0.589
0.173 0.173 0.078
0.498 0.498 0.264
0.502 0.502 0.736
0.827 0.827 0.922
0.835 0.835 0.411
```

Values from the calculation:
Its energy of formation from the pure elements is -705.1 meV per atom. Its total energy is -5.1405 eV/atom. As for the magnetization: 0.0 μB per formula unit.

Record 7
Density functional theory data (PBE) for CaY2ScBi4 after structural relaxation.

The structure in POSCAR format:
```
CaY2ScBi4
1.0
7.705 0.000 0.000
0.000 4.421 0.000
-2.535 0.000 7.359
Ca Y Sc Bi
1 2 1 4
Direct
0.000 0.000 0.000
0.500 0.000 0.500
0.500 0.500 0.000
0.000 0.500 0.500
0.241 0.000 0.738
0.249 0.500 0.260
0.751 0.500 0.740
0.759 0.000 0.262
```

Values from the calculation:
Its energy of formation from the pure elements is -761.1 meV per atom. Its total energy is -5.3592 eV/atom. As for the magnetization: 0.0 μB per formula unit.

Record 8
Density functional theory data (PBE) for Ca2ZrScBi4 after structural relaxation.

The structure in POSCAR format:
```
Ca2ZrScBi4
1.0
7.512 0.000 0.000
0.000 4.317 0.000
-2.479 0.000 7.559
Ca Zr Sc Bi
2 1 1 4
Direct
0.000 0.000 0.000
0.500 0.500 0.000
0.000 0.500 0.500
0.500 0.000 0.500
0.242 0.000 0.727
0.257 0.500 0.273
0.743 0.500 0.727
0.758 0.000 0.273
```

Values from the calculation:
Its energy of formation from the pure elements is -611.5 meV per atom. Its total energy is -4.9123 eV/atom. As for the magnetization: 0.0 μB per formula unit.

Record 9
Density functional theory data (PBE) for CaBi3Se after structural relaxation.

The structure in POSCAR format:
```
CaBi3Se
1.0
5.623 0.000 0.000
0.000 5.623 0.000
0.000 0.000 5.623
Ca Bi Se
1 3 1
Direct
0.000 0.000 0.000
0.000 0.500 0.500
0.500 0.000 0.500
0.500 0.500 0.000
0.500 0.500 0.500
```

Values from the calculation:
For the uncorrected formation energy, the calculation gives 60 meV per atom. Its total energy is -3.3659 eV/atom. As for the magnetization: 0.0 μB per formula unit.

Record 10
Density functional theory data (PBE) for CaBi2Se2 after structural relaxation.

The structure in POSCAR format:
```
CaBi2Se2
1.0
7.796 0.000 0.000
0.000 7.796 0.000
0.000 0.000 4.900
Ca Bi Se
2 4 4
Direct
0.000 0.000 0.000
0.500 0.500 0.000
0.193 0.307 0.500
0.307 0.807 0.500
0.693 0.193 0.500
0.807 0.693 0.500
0.168 0.668 0.000
0.332 0.168 0.000
0.668 0.832 0.000
0.832 0.332 0.000
```

Values from the calculation:
For the uncorrected formation energy, the calculation gives -567 meV per atom. Its total energy is -3.9136 eV/atom. As for the magnetization: 0.0 μB per formula unit.

Record 11
Density functional theory data (PBE) for CaBiSe3 after structural relaxation.

The structure in POSCAR format:
```
CaBiSe3
1.0
5.380 0.000 0.000
0.000 5.380 0.000
0.000 0.000 5.380
Ca Bi Se
1 1 3
Direct
0.000 0.000 0.000
0.500 0.500 0.500
0.000 0.000 0.500
0.000 0.500 0.000
0.500 0.000 0.000
```

Values from the calculation:
For the uncorrected formation energy, the calculation gives -51 meV per atom. Its total energy is -3.3186 eV/atom. As for the magnetization: 0.0 μB per formula unit.

Record 12
Density functional theory data (PBE) for CaBi3Se after structural relaxation.

The structure in POSCAR format:
```
CaBi3Se
1.0
5.819 0.000 0.000
0.000 5.819 0.000
0.000 0.000 5.819
Ca Bi Se
1 3 1
Direct
0.000 0.000 0.000
0.000 0.000 0.500
0.000 0.500 0.000
0.500 0.000 0.000
0.500 0.500 0.500
```

Values from the calculation:
For the uncorrected formation energy, the calculation gives 702 meV per atom. Its total energy is -2.7237 eV/atom. As for the magnetization: 0.0 μB per formula unit.

Q: Which of these has the highest total energy?
A: CaScTl2Bi

Q: What is the total energy in the ninth record?
A: -3.3659 eV/atom